(1)
# CaBe2I PBE relaxed
data_CaBe2I
_chemical_formula_sum 'Ca4 Be8 I4'
_cell_length_a 6.994
_cell_length_b 6.994
_cell_length_c 6.994
_cell_angle_alpha 90.00
_cell_angle_beta 90.00
_cell_angle_gamma 90.00
_space_group_name_H-M_alt 'F m -3 m'
_space_group_IT_number 225
_space_group_name_Hall '-F 4 2 3'
loop_
_atom_site_label
_atom_site_fract_x
_atom_site_fract_y
_atom_site_fract_z
_atom_site_occupancy
Ca1 0.000 0.000 0.000 1
Be1 0.250 0.250 0.250 1
I1 0.000 0.000 0.500 1
# Formation energy without anion corrections   337 kJ/mol of formula units
# Energy above the lowest structure with this stoichiometry   1.19 eV per formula unit



(2)
# CaBeI3 PBE relaxed
data_CaBeI3
_chemical_formula_sum 'Ca1 Be1 I3'
_cell_length_a 6.105
_cell_length_b 6.105
_cell_length_c 6.105
_cell_angle_alpha 90.00
_cell_angle_beta 90.00
_cell_angle_gamma 90.00
_space_group_name_H-M_alt 'P m -3 m'
_space_group_IT_number 221
_space_group_name_Hall '-P 4 2 3'
loop_
_atom_site_label
_atom_site_fract_x
_atom_site_fract_y
_atom_site_fract_z
_atom_site_occupancy
Ca1 0.000 0.000 0.000 1
Be1 0.500 0.500 0.500 1
I1 0.000 0.000 0.500 1
# Formation energy without anion corrections   -71 kJ/mol of formula units
# Energy above the lowest structure with this stoichiometry   1.57 eV per formula unit



(3)
# CaBe2I PBE relaxed
data_CaBe2I
_chemical_formula_sum 'Ca4 Be8 I4'
_cell_length_a 7.827
_cell_length_b 7.827
_cell_length_c 5.957
_cell_angle_alpha 90.00
_cell_angle_beta 90.00
_cell_angle_gamma 90.00
_space_group_name_H-M_alt 'I -4 2 d'
_space_group_IT_number 122
_space_group_name_Hall 'I -4 2bw'
loop_
_atom_site_label
_atom_site_fract_x
_atom_site_fract_y
_atom_site_fract_z
_atom_site_occupancy
Ca1 0.000 0.000 0.000 1
Be1 0.224 0.250 0.625 1
I1 0.000 0.000 0.500 1
# Formation energy without anion corrections   222 kJ/mol of formula units
# Energy above the lowest structure with this stoichiometry   0.00 eV per formula unit



(4)
# CaBeI3 PBE relaxed
data_CaBeI3
_chemical_formula_sum 'Ca1 Be1 I3'
_cell_length_a 5.357
_cell_length_b 5.357
_cell_length_c 5.357
_cell_angle_alpha 90.00
_cell_angle_beta 90.00
_cell_angle_gamma 90.00
_space_group_name_H-M_alt 'P m -3 m'
_space_group_IT_number 221
_space_group_name_Hall '-P 4 2 3'
loop_
_atom_site_label
_atom_site_fract_x
_atom_site_fract_y
_atom_site_fract_z
_atom_site_occupancy
Ca1 0.000 0.000 0.000 1
Be1 0.500 0.500 0.500 1
I1 0.000 0.500 0.500 1
# Formation energy without anion corrections   -223 kJ/mol of formula units
# Energy above the lowest structure with this stoichiometry   0.00 eV per formula unit



(5)
# Ca2BeI PBE relaxed
data_Ca2BeI
_chemical_formula_sum 'Ca8 Be4 I4'
_cell_length_a 8.002
_cell_length_b 8.002
_cell_length_c 8.108
_cell_angle_alpha 90.00
_cell_angle_beta 90.00
_cell_angle_gamma 90.00
_space_group_name_H-M_alt 'I -4 2 d'
_space_group_IT_number 122
_space_group_name_Hall 'I -4 2bw'
loop_
_atom_site_label
_atom_site_fract_x
_atom_site_fract_y
_atom_site_fract_z
_atom_site_occupancy
Ca1 0.215 0.750 0.125 1
Be1 0.000 0.000 0.000 1
I1 0.000 0.000 0.500 1
# Formation energy without anion corrections   -19 kJ/mol of formula units
# Energy above the lowest structure with this stoichiometry   0.00 eV per formula unit



(6)
# CaBeI4 PBE relaxed
data_CaBeI4
_chemical_formula_sum 'Ca4 Be4 I16'
_cell_length_a 8.271
_cell_length_b 12.081
_cell_length_c 9.430
_cell_angle_alpha 90.00
_cell_angle_beta 90.00
_cell_angle_gamma 90.00
_space_group_name_H-M_alt 'C m c m'
_space_group_IT_number 63
_space_group_name_Hall '-C 2c 2'
loop_
_atom_site_label
_atom_site_fract_x
_atom_site_fract_y
_atom_site_fract_z
_atom_site_occupancy
Ca1 0.000 0.000 0.000 1
Be1 0.000 0.351 0.250 1
I1 0.000 0.256 0.030 1
I2 0.237 0.484 0.250 1
# Formation energy without anion corrections   -589 kJ/mol of formula units



(7)
# CaBe3I PBE relaxed
data_CaBe3I
_chemical_formula_sum 'Ca1 Be3 I1'
_cell_length_a 4.904
_cell_length_b 4.904
_cell_length_c 4.904
_cell_angle_alpha 90.00
_cell_angle_beta 90.00
_cell_angle_gamma 90.00
_space_group_name_H-M_alt 'P m -3 m'
_space_group_IT_number 221
_space_group_name_Hall '-P 4 2 3'
loop_
_atom_site_label
_atom_site_fract_x
_atom_site_fract_y
_atom_site_fract_z
_atom_site_occupancy
Ca1 0.000 0.000 0.000 1
Be1 0.000 0.500 0.500 1
I1 0.500 0.500 0.500 1
# Formation energy without anion corrections   634 kJ/mol of formula units
# Energy above the lowest structure with this stoichiometry   0.00 eV per formula unit



(8)
# Ca2BeI PBE relaxed
data_Ca2BeI
_chemical_formula_sum 'Ca8 Be4 I4'
_cell_length_a 7.657
_cell_length_b 7.657
_cell_length_c 7.657
_cell_angle_alpha 90.00
_cell_angle_beta 90.00
_cell_angle_gamma 90.00
_space_group_name_H-M_alt 'F m -3 m'
_space_group_IT_number 225
_space_group_name_Hall '-F 4 2 3'
loop_
_atom_site_label
_atom_site_fract_x
_atom_site_fract_y
_atom_site_fract_z
_atom_site_occupancy
Ca1 0.250 0.250 0.250 1
Be1 0.000 0.000 0.000 1
I1 0.000 0.000 0.500 1
# Formation energy without anion corrections   13 kJ/mol of formula units
# Energy above the lowest structure with this stoichiometry   0.32 eV per formula unit



Q: Look up the formation energy without anion corrections of the second one.
A: -71 kJ/mol of formula units